Record 1
Nd2Eu, optimized geometry, DFT GGA-PBE; volume = 37.086 Å³/atom; ΔE to the lowest computed polymorph = 0 meV/atom; space group = I4/mmm (139); formation enthalpy at 0 K = 0.025 eV per atom; raw total energy = -6.578 eV per atom
1.0
3.743 0.002 0.000
0.002 3.743 0.000
-1.871 -1.871 7.943
Eu Nd
1 2
Direct
0.500 0.500 0.000
0.173 0.173 0.346
0.827 0.827 0.654

Record 2
NdEu, optimized geometry, DFT GGA-PBE; volume = 38.172 Å³/atom; ΔE to the lowest computed polymorph = 0 meV/atom; space group = P4/nmm (129); formation enthalpy at 0 K = 0.020 eV per atom; raw total energy = -7.501 eV per atom
1.0
3.771 0.007 0.000
-0.017 10.735 0.000
0.000 0.000 3.771
Nd Eu
2 2
Direct
0.250 0.113 0.250
0.750 0.887 0.750
0.250 0.633 0.250
0.750 0.367 0.750